{"formula": "LiTi2Sn", "functional": "PBE", "state": "relaxed", "lattice": [[-2.710, -2.085, -2.685], [3.063, -0.869, -2.416], [0.622, -3.398, 2.010]], "species": ["Sn", "Ti", "Ti", "Li"], "fractional_positions": [[0.500, 0.500, 0.500], [0.000, 0.000, 0.500], [0.000, 0.500, 0.000], [0.500, 0.000, 0.000]], "crystal_system": "tetragonal", "total_magnetization_mub_per_fu": 0.00}

{"formula": "FeCoTc2N", "functional": "PBE", "state": "relaxed", "lattice": [[3.993, 0.000, 0.000], [0.000, 3.993, 0.000], [0.000, 0.000, 3.732]], "species": ["Co", "Fe", "N", "Tc", "Tc"], "fractional_positions": [[0.500, 0.500, 0.500], [0.000, 0.000, 0.500], [0.000, 0.000, 0.000], [0.500, 0.000, 0.000], [0.000, 0.500, 0.000]], "crystal_system": "tetragonal", "total_magnetization_mub_per_fu": 2.91, "raw_formation_energy_mev_per_atom": 115}

{"formula": "CsRb2Te", "functional": "PBE", "state": "relaxed", "lattice": [[-2.951, 8.939, 8.626], [-6.377, -8.699, 6.832], [-1.496, -0.691, 9.654]], "species": ["Te", "Te", "Cs", "Cs", "Rb", "Rb", "Rb", "Rb"], "fractional_positions": [[0.250, 0.750, 0.500], [0.500, 0.500, 0.000], [0.750, 0.250, 0.500], [0.000, 0.000, 0.000], [0.875, 0.731, 0.750], [0.375, 0.519, 0.750], [0.481, 0.125, 0.250], [0.269, 0.625, 0.250]], "crystal_system": "tetragonal", "total_magnetization_mub_per_fu": 0.00, "raw_formation_energy_mev_per_atom": -611}

{"formula": "PmDyTlTe", "functional": "PBE", "state": "relaxed", "lattice": [[4.432, 0.000, 0.000], [0.000, 4.432, 0.000], [0.000, 0.000, 6.287]], "species": ["Tl", "Dy", "Pm", "Te"], "fractional_positions": [[0.000, 0.000, 0.000], [0.000, 0.000, 0.500], [0.500, 0.500, 0.000], [0.500, 0.500, 0.500]], "crystal_system": "tetragonal", "total_magnetization_mub_per_fu": 0.00, "raw_formation_energy_mev_per_atom": -808}

{"formula": "AlFeOs2", "functional": "PBE", "state": "relaxed", "lattice": [[-2.813, -4.934, -1.081], [4.978, -2.498, -1.551], [1.765, -5.060, 3.040]], "species": ["Fe", "Fe", "Os", "Os", "Os", "Os", "Al", "Al"], "fractional_positions": [[0.750, 0.250, 0.500], [0.000, 0.000, 0.000], [0.661, 0.125, 0.250], [0.089, 0.625, 0.250], [0.875, 0.911, 0.750], [0.375, 0.339, 0.750], [0.250, 0.750, 0.500], [0.500, 0.500, 0.000]], "crystal_system": "tetragonal", "total_magnetization_mub_per_fu": 0.00}

{"formula": "Sc3TePd", "functional": "PBE", "state": "relaxed", "lattice": [[-2.441, -3.628, 2.570], [-1.553, -2.052, -4.371], [4.166, -2.890, -0.123]], "species": ["Sc", "Sc", "Sc", "Te", "Pd"], "fractional_positions": [[0.000, 0.000, 0.500], [0.000, 0.500, 0.000], [0.500, 0.000, 0.000], [0.500, 0.500, 0.500], [0.000, 0.000, 0.000]], "crystal_system": "cubic", "total_magnetization_mub_per_fu": 0.00, "raw_formation_energy_mev_per_atom": -387, "e_above_lowest_polymorph_mev_per_atom": 0}

{"formula": "CuSiGeI2", "functional": "PBE", "state": "relaxed", "lattice": [[5.672, 0.000, 0.000], [0.000, 5.672, 0.000], [0.000, 0.000, 4.998]], "species": ["Cu", "Ge", "I", "I", "Si"], "fractional_positions": [[0.500, 0.500, 0.500], [0.000, 0.000, 0.000], [0.500, 0.000, 0.000], [0.000, 0.500, 0.000], [0.000, 0.000, 0.500]], "crystal_system": "tetragonal", "total_magnetization_mub_per_fu": 0.00, "raw_formation_energy_mev_per_atom": 891, "e_above_lowest_polymorph_mev_per_atom": 161}

{"formula": "AgPPb2", "functional": "PBE", "state": "relaxed", "lattice": [[-1.226, 4.383, -4.171], [-3.081, -1.427, -5.155], [-0.158, -0.089, 6.170]], "species": ["Pb", "Pb", "Ag", "P"], "fractional_positions": [[0.749, 0.249, 0.500], [0.037, 0.037, 0.000], [0.449, 0.449, 0.000], [0.264, 0.764, 0.500]], "crystal_system": "orthorhombic", "total_magnetization_mub_per_fu": 0.00}

{"formula": "CaTl2Co", "functional": "PBE", "state": "relaxed", "lattice": [[-3.463, 2.636, -4.313], [0.124, 0.641, -6.093], [-3.379, -1.813, -4.779]], "species": ["Tl", "Tl", "Ca", "Co"], "fractional_positions": [[0.471, 0.471, 0.471], [0.029, 0.029, 0.029], [0.250, 0.250, 0.250], [0.750, 0.750, 0.750]], "crystal_system": "trigonal", "total_magnetization_mub_per_fu": 0.40}

{"formula": "TeAs5", "functional": "PBE", "state": "relaxed", "lattice": [[0.778, -3.736, 5.058], [1.842, -0.052, 6.063], [-4.398, -0.166, 5.266]], "species": ["Te", "As", "As", "As", "As", "As"], "fractional_positions": [[0.222, 0.222, 0.499], [0.548, 0.548, 0.494], [0.722, 0.722, 0.001], [0.897, 0.897, 0.503], [0.393, 0.393, 0.985], [0.051, 0.051, 0.017]], "crystal_system": "monoclinic", "total_magnetization_mub_per_fu": 0.00, "raw_formation_energy_mev_per_atom": 127, "e_above_lowest_polymorph_mev_per_atom": 0}

{"formula": "Li2TbTl", "functional": "PBE", "state": "relaxed", "lattice": [[-2.614, 1.313, 2.264], [1.775, -1.461, 2.898], [3.495, 5.698, 0.732]], "species": ["Tl", "Li", "Li", "Tb"], "fractional_positions": [[0.500, 0.500, 0.000], [0.000, 0.000, 0.209], [0.000, 0.000, 0.791], [0.500, 0.500, 0.500]], "crystal_system": "tetragonal", "total_magnetization_mub_per_fu": 0.00}

{"formula": "Ta3W", "functional": "PBE", "state": "relaxed", "lattice": [[-1.618, 1.923, 1.367], [-4.852, -1.155, -2.122], [0.860, -1.508, 5.135]], "species": ["W", "Ta", "Ta", "Ta"], "fractional_positions": [[0.500, 0.500, 0.000], [0.000, 0.000, 0.000], [0.500, 0.000, 0.500], [0.000, 0.500, 0.500]], "crystal_system": "trigonal", "total_magnetization_mub_per_fu": 0.00}

Number 1: volume 17.36 Å³ per atom, DFT total energy -22.34 eV for the cell shown. Number 2: volume 11.90 Å³ per atom, DFT total energy -44.05 eV for the cell shown. Number 3: volume 77.32 Å³ per atom, DFT total energy -16.75 eV for the cell shown. Number 4: volume 30.87 Å³ per atom, DFT total energy -18.09 eV for the cell shown. Number 5: volume 19.26 Å³ per atom, DFT total energy -58.80 eV for the cell shown. Number 6: volume 26.09 Å³ per atom, DFT total energy -29.27 eV for the cell shown. Number 7: volume 32.16 Å³ per atom, DFT total energy -12.78 eV for the cell shown. Number 8: volume 24.51 Å³ per atom, DFT total energy -14.76 eV for the cell shown. Number 9: volume 24.09 Å³ per atom, DFT total energy -13.30 eV for the cell shown. Number 10: volume 22.29 Å³ per atom, DFT total energy -25.63 eV for the cell shown. Number 11: volume 23.00 Å³ per atom, DFT total energy -11.11 eV for the cell shown. Number 12: volume 17.63 Å³ per atom, DFT total energy -48.61 eV for the cell shown.